The following is a DFT calculation (GGA-PBE) of a relaxed GeHSeBr2 crystal. Values from VASP.

```
&SYSTEM
  ibrav = 0, nat = 5, ntyp = 4
/
ATOMIC_SPECIES
Br 79.90 Br.upf
Ge 72.64 Ge.upf
H 1.01 H.upf
Se 78.96 Se.upf
CELL_PARAMETERS angstrom
5.389 0.000 0.000
0.000 5.389 0.000
0.000 0.000 3.565
ATOMIC_POSITIONS angstrom
Br 2.694 0.000 0.000
Br 0.000 2.694 0.000
Ge 2.694 2.694 1.783
H 0.000 0.000 0.000
Se 0.000 0.000 1.783
```

Summary:
* N(E_F): 3.01 states/eV/cell
* offset from the most stable computed form: 0 meV/atom
* SG: No. 123

=====

The following is a DFT calculation (GGA-PBE) of a relaxed YH2O crystal. Values from VASP.

```
&SYSTEM
  ibrav = 0, nat = 8, ntyp = 3
/
ATOMIC_SPECIES
Y 88.91 Y.upf
H 1.01 H.upf
O 16.00 O.upf
CELL_PARAMETERS angstrom
-1.139 -3.366 0.460
1.731 1.683 2.647
-6.780 2.668 2.737
ATOMIC_POSITIONS angstrom
Y -3.648 1.435 1.473
Y -5.491 2.465 4.448
H -4.937 0.188 3.109
H -1.895 -1.009 1.881
H -5.534 2.178 2.234
H -3.421 1.651 3.612
O -2.785 -0.659 2.240
O -0.480 -1.566 1.309
```

Summary:
* offset from the most stable computed form: 50 meV/atom
* SG: No. 156

=====

The following is a DFT calculation (GGA-PBE) of a relaxed TiVPt4 crystal. Values from VASP.

```
&SYSTEM
  ibrav = 0, nat = 6, ntyp = 3
/
ATOMIC_SPECIES
Ti 47.87 Ti.upf
Pt 195.08 Pt.upf
V 50.94 V.upf
CELL_PARAMETERS angstrom
-1.419 -1.997 -1.319
2.068 0.434 -5.818
1.032 -5.669 4.540
ATOMIC_POSITIONS angstrom
Ti 0.840 -3.616 -1.299
Pt 0.753 -6.129 -0.333
Pt -0.110 -2.507 0.980
Pt 1.791 -4.724 -3.577
Pt 0.928 -1.102 -2.264
V 0.000 0.000 0.000
```

Summary:
* N(E_F): 5.28 states/eV/cell
* energy of formation: -0.665 eV per atom
* offset from the most stable computed form: 0 meV/atom
* SG: No. 12

=====

The following is a DFT calculation (GGA-PBE) of a relaxed ZnGa2MoRu crystal. Values from VASP.

```
&SYSTEM
  ibrav = 0, nat = 5, ntyp = 4
/
ATOMIC_SPECIES
Ga 69.72 Ga.upf
Zn 65.41 Zn.upf
Ru 101.07 Ru.upf
Mo 95.94 Mo.upf
CELL_PARAMETERS angstrom
4.759 0.000 0.000
0.000 4.797 0.000
0.000 0.000 4.759
ATOMIC_POSITIONS angstrom
Ga 2.380 0.000 0.000
Ga 0.000 0.000 2.380
Zn 0.000 2.398 0.000
Ru 2.380 2.398 2.380
Mo 0.000 0.000 0.000
```

Summary:
* N(E_F): 12.57 states/eV/cell
* energy of formation: 1.248 eV per atom
* SG: No. 123

=====

The following is a DFT calculation (GGA-PBE) of a relaxed TbEr2O4 crystal. Values from VASP.

```
&SYSTEM
  ibrav = 0, nat = 7, ntyp = 3
/
ATOMIC_SPECIES
O 16.00 O.upf
Tb 158.93 Tb.upf
Er 167.26 Er.upf
CELL_PARAMETERS angstrom
-2.119 2.445 1.031
-4.388 -2.650 -2.733
2.286 -2.642 5.367
ATOMIC_POSITIONS angstrom
O -2.307 -2.909 2.156
O -3.361 -2.623 -0.686
O -1.914 0.062 1.510
O -0.861 -0.224 4.352
Tb 0.000 0.000 0.000
Er -3.659 -1.238 1.007
Er -0.563 -1.609 2.658
```

Summary:
* N(E_F): 2.00 states/eV/cell
* energy relative to the elements, uncorrected: -3244 meV per atom
* SG: No. 12

=====

The following is a DFT calculation (GGA-PBE) of a relaxed BaNa2ZnSb2 crystal. Values from VASP.

```
&SYSTEM
  ibrav = 0, nat = 12, ntyp = 4
/
ATOMIC_SPECIES
Sb 121.76 Sb.upf
Na 22.99 Na.upf
Ba 137.33 Ba.upf
Zn 65.41 Zn.upf
CELL_PARAMETERS angstrom
4.839 0.000 0.000
0.000 8.572 0.000
0.000 0.000 8.874
ATOMIC_POSITIONS angstrom
Sb 2.419 6.724 5.582
Sb 0.000 1.825 7.409
Sb 0.000 6.112 1.466
Sb 2.419 2.438 3.293
Na 0.000 3.016 1.401
Na 2.419 0.362 0.533
Na 0.000 7.302 7.474
Na 2.419 4.648 8.342
Ba 0.000 8.550 3.891
Ba 0.000 4.264 4.983
Zn 2.419 5.631 2.853
Zn 2.419 1.344 6.021
```

Summary:
* N(E_F): 0.73 states/eV/cell
* energy relative to the elements, uncorrected: -569 meV per atom
* SG: No. 26

=====

One value per record, in order, for volume: 20.7, 10.8, 15.1, 21.7, 15.1, 30.7 Å³ per atom.